Tl6HgBi3: optimized geometry, PBE.

Cell lengths 6.3811, 10.0045, 11.9722 Å; angles 90.00, 117.05, 90.00 degrees
Last column: nearest neighbours and their distance in Å.
Fractional coordinates of all 20 atoms:
Tl1 0.0299 0.1559 0.0633  5 Bi 3.41-3.79, 4 Tl 3.41-3.76, 1 Hg 3.51
Tl2 0.0299 0.3441 0.5633  5 Bi 3.41-3.79, 4 Tl 3.41-3.76, 1 Hg 3.51
Tl3 0.3559 0.7010 0.2475  3 Bi 3.24-3.57, 2 Tl 3.28-3.55, 1 Hg 3.44
Tl4 0.3559 0.7990 0.7475  3 Bi 3.24-3.57, 2 Tl 3.28-3.55, 1 Hg 3.44
Tl5 0.3889 0.1624 0.4342  3 Tl 3.28-3.66, 1 Hg 3.35, 3 Bi 3.46-3.56
Tl6 0.3889 0.3376 0.9342  3 Tl 3.28-3.66, 1 Hg 3.35, 3 Bi 3.46-3.56
Tl7 0.6111 0.6624 0.0658  3 Tl 3.28-3.66, 1 Hg 3.35, 3 Bi 3.46-3.56
Tl8 0.6111 0.8376 0.5658  3 Tl 3.28-3.66, 1 Hg 3.35, 3 Bi 3.46-3.56
Tl9 0.6441 0.2010 0.2525  3 Bi 3.24-3.57, 2 Tl 3.28-3.55, 1 Hg 3.44
Tl10 0.6441 0.2990 0.7525  3 Bi 3.24-3.57, 2 Tl 3.28-3.55, 1 Hg 3.44
Tl11 0.9701 0.6559 0.4367  5 Bi 3.41-3.79, 4 Tl 3.41-3.76, 1 Hg 3.51
Tl12 0.9701 0.8441 0.9367  5 Bi 3.41-3.79, 4 Tl 3.41-3.76, 1 Hg 3.51
Hg1 0.0000 0.0000 0.5000  2 Bi 3.05, 2 Tl 3.35
Hg2 0.0000 0.5000 0.0000  2 Bi 3.05, 2 Tl 3.35
Bi1 0.0239 0.0856 0.7504  1 Hg 3.05, 2 Tl 3.24-3.41, 1 Bi 3.26
Bi2 0.0239 0.4144 0.2504  1 Hg 3.05, 2 Tl 3.24-3.41, 1 Bi 3.26
Bi3 0.5000 0.0000 0.0000  2 Bi 3.26, 6 Tl 3.39-3.48
Bi4 0.5000 0.5000 0.5000  2 Bi 3.26, 6 Tl 3.39-3.48
Bi5 0.9761 0.5856 0.7496  1 Hg 3.05, 2 Tl 3.24-3.41, 1 Bi 3.26
Bi6 0.9761 0.9144 0.2496  1 Hg 3.05, 2 Tl 3.24-3.41, 1 Bi 3.26

Calculated values
Uncorrected energy (eV/atom): -2.59

---

PbI2Cl: optimized geometry, PBE.

Cell lengths 7.6432, 7.6432, 7.6432 Å; angles 99.16, 99.16, 132.96 degrees
Last column: nearest neighbours and their distance in Å.
Fractional coordinates of all 8 atoms:
Pb1 0.0000 0.0000 0.0000  2 Cl 3.05, 4 I 3.37
Pb2 0.7500 0.2500 0.5000  2 Cl 3.05, 4 I 3.37
I1 0.0923 0.6250 0.9673  2 I 3.12, 2 Pb 3.37
I2 0.3750 0.3423 0.4673  2 I 3.12, 2 Pb 3.37
I3 0.6577 0.1250 0.0327  2 I 3.12, 2 Pb 3.37
I4 0.8750 0.9077 0.5327  2 I 3.12, 2 Pb 3.37
Cl1 0.2500 0.7500 0.5000  2 Pb 3.05
Cl2 0.5000 0.5000 0.0000  2 Pb 3.05

Calculated values
Formation energy (no corrections) (eV/atom): -0.45

---

TaCrAg2: optimized geometry, PBE.

Cell lengths 3.8469, 3.8469, 4.4461 Å; angles 90.00, 90.00, 90.00 degrees
Last column: nearest neighbours and their distance in Å.
Fractional coordinates of all 4 atoms:
Ta1 0.0000 0.0000 0.0000  4 Cr 2.72, 8 Ag 2.94
Cr1 0.5000 0.5000 0.0000  4 Ta 2.72, 8 Ag 2.94
Ag1 0.0000 0.5000 0.5000  4 Ag 2.72, 4 Cr 2.94, 4 Ta 2.94
Ag2 0.5000 0.0000 0.5000  4 Ag 2.72, 4 Cr 2.94, 4 Ta 2.94

Calculated values
Uncorrected energy (eV/atom): -6.31

---

Ta2GaCo2Ru5: optimized geometry, PBE.

Cell lengths 8.6572, 8.6572, 3.8501 Å; angles 90.00, 90.00, 90.00 degrees
Last column: nearest neighbours and their distance in Å.
Fractional coordinates of all 20 atoms:
Ta1 0.1617 0.3383 0.0000  3 Co 2.52-2.56, 2 Ru 2.76
Ta2 0.3383 0.8383 0.0000  3 Co 2.52-2.56, 2 Ru 2.76
Ta3 0.6617 0.1617 0.0000  3 Co 2.52-2.56, 2 Ru 2.76
Ta4 0.8383 0.6617 0.0000  3 Co 2.52-2.56, 2 Ru 2.76
Ga1 0.0000 0.0000 0.0000  8 Ru 2.67
Ga2 0.5000 0.5000 0.0000  8 Ru 2.67
Co1 0.1327 0.6327 0.0000  6 Ru 2.46-2.52, 3 Ta 2.52-2.56
Co2 0.3673 0.1327 0.0000  6 Ru 2.46-2.52, 3 Ta 2.52-2.56
Co3 0.6327 0.8673 0.0000  6 Ru 2.46-2.52, 3 Ta 2.52-2.56
Co4 0.8673 0.3673 0.0000  6 Ru 2.46-2.52, 3 Ta 2.52-2.56
Ru1 0.0000 0.5000 0.5000  4 Co 2.52, 4 Ru 2.68, 4 Ta 2.76
Ru2 0.0751 0.8005 0.5000  2 Co 2.46, 3 Ru 2.61-2.68, 2 Ga 2.67
Ru3 0.1995 0.0751 0.5000  2 Co 2.46, 3 Ru 2.61-2.68, 2 Ga 2.67
Ru4 0.3005 0.5751 0.5000  2 Co 2.46, 3 Ru 2.61-2.68, 2 Ga 2.67
Ru5 0.4249 0.3005 0.5000  2 Co 2.46, 3 Ru 2.61-2.68, 2 Ga 2.67
Ru6 0.5000 0.0000 0.5000  4 Co 2.52, 4 Ru 2.68, 4 Ta 2.76
Ru7 0.5751 0.6995 0.5000  2 Co 2.46, 3 Ru 2.61-2.68, 2 Ga 2.67
Ru8 0.6995 0.4249 0.5000  2 Co 2.46, 3 Ru 2.61-2.68, 2 Ga 2.67
Ru9 0.8005 0.9249 0.5000  2 Co 2.46, 3 Ru 2.61-2.68, 2 Ga 2.67
Ru10 0.9249 0.1995 0.5000  2 Co 2.46, 3 Ru 2.61-2.68, 2 Ga 2.67

Calculated values
Uncorrected energy (eV/atom): -8.83

---

Repeat the first record exactly.
Tl6HgBi3: optimized geometry, PBE.

Cell lengths 6.3811, 10.0045, 11.9722 Å; angles 90.00, 117.05, 90.00 degrees
Last column: nearest neighbours and their distance in Å.
Fractional coordinates of all 20 atoms:
Tl1 0.0299 0.1559 0.0633  5 Bi 3.41-3.79, 4 Tl 3.41-3.76, 1 Hg 3.51
Tl2 0.0299 0.3441 0.5633  5 Bi 3.41-3.79, 4 Tl 3.41-3.76, 1 Hg 3.51
Tl3 0.3559 0.7010 0.2475  3 Bi 3.24-3.57, 2 Tl 3.28-3.55, 1 Hg 3.44
Tl4 0.3559 0.7990 0.7475  3 Bi 3.24-3.57, 2 Tl 3.28-3.55, 1 Hg 3.44
Tl5 0.3889 0.1624 0.4342  3 Tl 3.28-3.66, 1 Hg 3.35, 3 Bi 3.46-3.56
Tl6 0.3889 0.3376 0.9342  3 Tl 3.28-3.66, 1 Hg 3.35, 3 Bi 3.46-3.56
Tl7 0.6111 0.6624 0.0658  3 Tl 3.28-3.66, 1 Hg 3.35, 3 Bi 3.46-3.56
Tl8 0.6111 0.8376 0.5658  3 Tl 3.28-3.66, 1 Hg 3.35, 3 Bi 3.46-3.56
Tl9 0.6441 0.2010 0.2525  3 Bi 3.24-3.57, 2 Tl 3.28-3.55, 1 Hg 3.44
Tl10 0.6441 0.2990 0.7525  3 Bi 3.24-3.57, 2 Tl 3.28-3.55, 1 Hg 3.44
Tl11 0.9701 0.6559 0.4367  5 Bi 3.41-3.79, 4 Tl 3.41-3.76, 1 Hg 3.51
Tl12 0.9701 0.8441 0.9367  5 Bi 3.41-3.79, 4 Tl 3.41-3.76, 1 Hg 3.51
Hg1 0.0000 0.0000 0.5000  2 Bi 3.05, 2 Tl 3.35
Hg2 0.0000 0.5000 0.0000  2 Bi 3.05, 2 Tl 3.35
Bi1 0.0239 0.0856 0.7504  1 Hg 3.05, 2 Tl 3.24-3.41, 1 Bi 3.26
Bi2 0.0239 0.4144 0.2504  1 Hg 3.05, 2 Tl 3.24-3.41, 1 Bi 3.26
Bi3 0.5000 0.0000 0.0000  2 Bi 3.26, 6 Tl 3.39-3.48
Bi4 0.5000 0.5000 0.5000  2 Bi 3.26, 6 Tl 3.39-3.48
Bi5 0.9761 0.5856 0.7496  1 Hg 3.05, 2 Tl 3.24-3.41, 1 Bi 3.26
Bi6 0.9761 0.9144 0.2496  1 Hg 3.05, 2 Tl 3.24-3.41, 1 Bi 3.26

Calculated values
Uncorrected energy (eV/atom): -2.59